The following is a PBE-GGA calculation of Dy4Rh3Au after structural relaxation, from Alexandria.

Summary:
- DOS at the Fermi energy (states/eV/f.u.) = 5.7

POSCAR file:
```
Dy4Rh3Au
1.0
4.872 0.000 0.000
0.000 7.040 0.000
0.000 0.000 9.745
Au Rh Dy
2 6 8
direct
0.000 0.500 0.000
0.000 0.500 0.500
0.000 0.000 0.000
0.000 0.000 0.500
0.500 0.000 0.750
0.500 0.000 0.250
0.501 0.500 0.750
0.499 0.500 0.250
0.500 0.758 0.000
0.500 0.758 0.500
0.500 0.242 0.000
0.500 0.242 0.500
0.000 0.758 0.750
0.000 0.758 0.250
0.000 0.242 0.250
0.000 0.242 0.750
```

***

The following is a PBE-GGA calculation of AcEr5Bi6 after structural relaxation, from Alexandria.

Summary:
- DOS at the Fermi energy (states/eV/f.u.) = 2.2

POSCAR file:
```
AcEr5Bi6
1.0
7.703 -0.123 -1.455
-4.164 6.481 -1.455
0.145 0.260 7.831
Ac Bi Er
1 6 5
direct
0.000 0.000 0.000
0.435 0.087 0.261
0.913 0.565 0.739
0.264 0.264 0.746
0.736 0.736 0.254
0.087 0.435 0.261
0.565 0.913 0.739
0.840 0.160 0.500
0.669 0.331 0.000
0.500 0.500 0.500
0.331 0.669 0.000
0.160 0.840 0.500
```

***

Result set for energy of formation from the pure elements: -852, -821 meV per atom, one per record in the order listed.